Here is a relaxed HfZn2Ni2 crystal from Alexandria via LeMat-Bulk. Energies are from PBE-GGA.

Output
Energy   -5.034 eV/atom
Polymorph energy (0 for the lowest one)   3.8 kJ/mol of atoms
Volume   14.07 A^3/atom
Density of states at the Fermi level   5.3 states/eV per cell
Total magnetization   0.000 μB/f.u.

a b c (Å): 7.170 7.170 2.736
angles (deg): 90.00 90.00 90.00
Positions (direct):
Hf 0.000 0.000 0.000
Hf 0.500 0.500 0.000
Zn 0.121 0.379 0.000
Zn 0.379 0.879 0.000
Zn 0.621 0.121 0.000
Zn 0.879 0.621 0.000
Ni 0.179 0.679 0.500
Ni 0.321 0.179 0.500
Ni 0.679 0.821 0.500
Ni 0.821 0.321 0.500